*w*
# KSr3S

Crystalline KSr3S at its relaxed geometry (PBE, Alexandria).

```
data_KSr3S
_symmetry_space_group_name_H-M 'P m -3 m'
_symmetry_Int_Tables_number 221
_symmetry_space_group_name_Hall '-P 4 2 3'
_cell_length_a 6.120
_cell_length_b 6.120
_cell_length_c 6.120
_cell_angle_alpha 90.00
_cell_angle_beta 90.00
_cell_angle_gamma 90.00
loop_
_atom_site_label
_atom_site_type_symbol
_atom_site_fract_x
_atom_site_fract_y
_atom_site_fract_z
K1 K 0.000 0.000 0.000
Sr1 Sr 0.000 0.500 0.500
S1 S 0.500 0.500 0.500
```

***

*x*
# KSr3S

Crystalline KSr3S at its relaxed geometry (PBE, Alexandria).

```
data_KSr3S
_symmetry_space_group_name_H-M 'P m -3 m'
_symmetry_Int_Tables_number 221
_symmetry_space_group_name_Hall '-P 4 2 3'
_cell_length_a 6.820
_cell_length_b 6.820
_cell_length_c 6.820
_cell_angle_alpha 90.00
_cell_angle_beta 90.00
_cell_angle_gamma 90.00
loop_
_atom_site_label
_atom_site_type_symbol
_atom_site_fract_x
_atom_site_fract_y
_atom_site_fract_z
K1 K 0.000 0.000 0.000
Sr1 Sr 0.000 0.000 0.500
S1 S 0.500 0.500 0.500
```

***

Most stable structure, least stable structure: *w*, *x*.

***

*w*
# KTaS4

Crystalline KTaS4 at its relaxed geometry (PBE, Alexandria).

```
data_KTaS4
_symmetry_space_group_name_H-M 'C 1 2/c 1'
_symmetry_Int_Tables_number 15
_symmetry_space_group_name_Hall '-C 2yc'
_cell_length_a 7.852
_cell_length_b 13.822
_cell_length_c 6.536
_cell_angle_alpha 90.00
_cell_angle_beta 92.37
_cell_angle_gamma 90.00
loop_
_atom_site_label
_atom_site_type_symbol
_atom_site_fract_x
_atom_site_fract_y
_atom_site_fract_z
K1 K 0.000 0.136 0.250
Ta1 Ta 0.000 0.445 0.750
S1 S 0.090 0.287 0.638
S2 S 0.210 0.495 0.001
```

***

*x*
# KTaS4

Crystalline KTaS4 at its relaxed geometry (PBE, Alexandria).

```
data_KTaS4
_symmetry_space_group_name_H-M 'P 4/m m m'
_symmetry_Int_Tables_number 123
_symmetry_space_group_name_Hall '-P 4 2'
_cell_length_a 4.125
_cell_length_b 4.125
_cell_length_c 8.109
_cell_angle_alpha 90.00
_cell_angle_beta 90.00
_cell_angle_gamma 90.00
loop_
_atom_site_label
_atom_site_type_symbol
_atom_site_fract_x
_atom_site_fract_y
_atom_site_fract_z
K1 K 0.000 0.000 0.000
Ta1 Ta 0.500 0.500 0.500
S1 S 0.000 0.500 0.309
```

***

Most stable structure, least stable structure: *w*, *x*.

***

*w*
# KTa3S

Crystalline KTa3S at its relaxed geometry (PBE, Alexandria).

```
data_KTa3S
_symmetry_space_group_name_H-M 'P m -3 m'
_symmetry_Int_Tables_number 221
_symmetry_space_group_name_Hall '-P 4 2 3'
_cell_length_a 4.684
_cell_length_b 4.684
_cell_length_c 4.684
_cell_angle_alpha 90.00
_cell_angle_beta 90.00
_cell_angle_gamma 90.00
loop_
_atom_site_label
_atom_site_type_symbol
_atom_site_fract_x
_atom_site_fract_y
_atom_site_fract_z
K1 K 0.000 0.000 0.000
Ta1 Ta 0.000 0.000 0.500
S1 S 0.500 0.500 0.500
```

***

*x*
# KTa3S

Crystalline KTa3S at its relaxed geometry (PBE, Alexandria).

```
data_KTa3S
_symmetry_space_group_name_H-M 'P m -3 m'
_symmetry_Int_Tables_number 221
_symmetry_space_group_name_Hall '-P 4 2 3'
_cell_length_a 4.738
_cell_length_b 4.738
_cell_length_c 4.738
_cell_angle_alpha 90.00
_cell_angle_beta 90.00
_cell_angle_gamma 90.00
loop_
_atom_site_label
_atom_site_type_symbol
_atom_site_fract_x
_atom_site_fract_y
_atom_site_fract_z
K1 K 0.000 0.000 0.000
Ta1 Ta 0.000 0.500 0.500
S1 S 0.500 0.500 0.500
```

***

Most stable structure, least stable structure: *x*, *w*.

***

*w*
# K4Ta2S11

Crystalline K4Ta2S11 at its relaxed geometry (PBE, Alexandria).

```
data_K4Ta2S11
_symmetry_space_group_name_H-M 'P c a 21'
_symmetry_Int_Tables_number 29
_symmetry_space_group_name_Hall 'P 2c -2ac'
_cell_length_a 13.524
_cell_length_b 7.552
_cell_length_c 18.412
_cell_angle_alpha 90.00
_cell_angle_beta 90.00
_cell_angle_gamma 90.00
loop_
_atom_site_label
_atom_site_type_symbol
_atom_site_fract_x
_atom_site_fract_y
_atom_site_fract_z
K1 K 0.037 0.218 0.104
K2 K 0.092 0.185 0.401
K3 K 0.216 0.791 0.252
K4 K 0.228 0.671 0.000
Ta1 Ta 0.056 0.260 0.845
Ta2 Ta 0.118 0.198 0.663
S1 S 0.015 0.030 0.752
S2 S 0.017 0.464 0.743
S3 S 0.044 0.755 0.104
S4 S 0.070 0.393 0.558
S5 S 0.089 0.745 0.406
S6 S 0.094 0.577 0.830
S7 S 0.152 0.017 0.900
S8 S 0.171 0.261 0.952
S9 S 0.183 0.966 0.602
S10 S 0.235 0.221 0.767
S11 S 0.240 0.395 0.181
```

***

*x*
# K4Ta2S11

Crystalline K4Ta2S11 at its relaxed geometry (PBE, Alexandria).

```
data_K4Ta2S11
_symmetry_space_group_name_H-M 'P -1'
_symmetry_Int_Tables_number 2
_symmetry_space_group_name_Hall '-P 1'
_cell_length_a 7.603
_cell_length_b 11.645
_cell_length_c 11.992
_cell_angle_alpha 68.84
_cell_angle_beta 86.49
_cell_angle_gamma 85.47
loop_
_atom_site_label
_atom_site_type_symbol
_atom_site_fract_x
_atom_site_fract_y
_atom_site_fract_z
K1 K 0.028 0.312 0.154
K2 K 0.244 0.869 0.507
K3 K 0.270 0.847 0.053
K4 K 0.286 0.463 0.387
Ta1 Ta 0.145 0.368 0.796
Ta2 Ta 0.234 0.147 0.659
S1 S 0.009 0.319 0.633
S2 S 0.013 0.984 0.256
S3 S 0.112 0.583 0.120
S4 S 0.154 0.138 0.898
S5 S 0.211 0.564 0.634
S6 S 0.232 0.916 0.759
S7 S 0.265 0.161 0.465
S8 S 0.311 0.232 0.970
S9 S 0.334 0.532 0.796
S10 S 0.433 0.306 0.664
S11 S 0.463 0.876 0.271
```

***

Most stable structure, least stable structure: *x*, *w*.

***

*w*
# KTcS2

Crystalline KTcS2 at its relaxed geometry (PBE, Alexandria).

```
data_KTcS2
_symmetry_space_group_name_H-M 'I -4 2 d'
_symmetry_Int_Tables_number 122
_symmetry_space_group_name_Hall 'I -4 2bw'
_cell_length_a 6.964
_cell_length_b 6.964
_cell_length_c 8.560
_cell_angle_alpha 90.00
_cell_angle_beta 90.00
_cell_angle_gamma 90.00
loop_
_atom_site_label
_atom_site_type_symbol
_atom_site_fract_x
_atom_site_fract_y
_atom_site_fract_z
K1 K 0.000 0.000 0.000
Tc1 Tc 0.000 0.000 0.500
S1 S 0.137 0.750 0.625
```

***

*x*
# KTcS2

Crystalline KTcS2 at its relaxed geometry (PBE, Alexandria).

```
data_KTcS2
_symmetry_space_group_name_H-M 'R -3 m'
_symmetry_Int_Tables_number 166
_symmetry_space_group_name_Hall '-R 3 2"'
_cell_length_a 3.1672
_cell_length_b 3.1672
_cell_length_c 28.0105
_cell_angle_alpha 90.00
_cell_angle_beta 90.00
_cell_angle_gamma 120.00
loop_
_atom_site_label
_atom_site_type_symbol
_atom_site_fract_x
_atom_site_fract_y
_atom_site_fract_z
K1 K 0.0000 0.0000 0.0000
Tc1 Tc 0.0000 0.0000 0.5000
S1 S 0.0000 0.0000 0.4207
```

***

Most stable structure, least stable structure: *w*, *x*.

***

*w*
# KTcS2

Crystalline KTcS2 at its relaxed geometry (PBE, Alexandria).

```
data_KTcS2
_symmetry_space_group_name_H-M 'F m -3 m'
_symmetry_Int_Tables_number 225
_symmetry_space_group_name_Hall '-F 4 2 3'
_cell_length_a 6.454
_cell_length_b 6.454
_cell_length_c 6.454
_cell_angle_alpha 90.00
_cell_angle_beta 90.00
_cell_angle_gamma 90.00
loop_
_atom_site_label
_atom_site_type_symbol
_atom_site_fract_x
_atom_site_fract_y
_atom_site_fract_z
K1 K 0.000 0.000 0.000
Tc1 Tc 0.000 0.000 0.500
S1 S 0.250 0.250 0.250
```

***

*x*
# KTcS2

Crystalline KTcS2 at its relaxed geometry (PBE, Alexandria).

```
data_KTcS2
_symmetry_space_group_name_H-M 'I -4 m 2'
_symmetry_Int_Tables_number 119
_symmetry_space_group_name_Hall 'I -4 -2'
_cell_length_a 3.863
_cell_length_b 3.863
_cell_length_c 12.688
_cell_angle_alpha 90.00
_cell_angle_beta 90.00
_cell_angle_gamma 90.00
loop_
_atom_site_label
_atom_site_type_symbol
_atom_site_fract_x
_atom_site_fract_y
_atom_site_fract_z
K1 K 0.000 0.000 0.000
Tc1 Tc 0.000 0.500 0.750
S1 S 0.000 0.000 0.343
```

***

Most stable structure, least stable structure: *x*, *w*.

***

*w*
# KTcS2

Crystalline KTcS2 at its relaxed geometry (PBE, Alexandria).

```
data_KTcS2
_symmetry_space_group_name_H-M 'C 1 2/c 1'
_symmetry_Int_Tables_number 15
_symmetry_space_group_name_Hall '-C 2yc'
_cell_length_a 10.491
_cell_length_b 10.487
_cell_length_c 14.534
_cell_angle_alpha 90.00
_cell_angle_beta 100.57
_cell_angle_gamma 90.00
loop_
_atom_site_label
_atom_site_type_symbol
_atom_site_fract_x
_atom_site_fract_y
_atom_site_fract_z
K1 K 0.046 0.185 0.401
K2 K 0.216 0.443 0.101
Tc1 Tc 0.093 0.202 0.674
Tc2 Tc 0.130 0.425 0.827
S1 S 0.000 0.051 0.750
S2 S 0.000 0.425 0.250
S3 S 0.043 0.314 0.932
S4 S 0.211 0.064 0.593
S5 S 0.237 0.188 0.247
```

***

*x*
# KTcS2

Crystalline KTcS2 at its relaxed geometry (PBE, Alexandria).

```
data_KTcS2
_symmetry_space_group_name_H-M 'R -3 m'
_symmetry_Int_Tables_number 166
_symmetry_space_group_name_Hall '-R 3 2"'
_cell_length_a 3.6104
_cell_length_b 3.6104
_cell_length_c 25.7495
_cell_angle_alpha 90.00
_cell_angle_beta 90.00
_cell_angle_gamma 120.00
loop_
_atom_site_label
_atom_site_type_symbol
_atom_site_fract_x
_atom_site_fract_y
_atom_site_fract_z
K1 K 0.0000 0.0000 0.0000
Tc1 Tc 0.0000 0.0000 0.5000
S1 S 0.0000 0.0000 0.1154
```

***

Most stable structure, least stable structure: *w*, *x*.

***

*w*
# K2TcS4

Crystalline K2TcS4 at its relaxed geometry (PBE, Alexandria).

```
data_K2TcS4
_symmetry_space_group_name_H-M 'I 4/m m m'
_symmetry_Int_Tables_number 139
_symmetry_space_group_name_Hall '-I 4 2'
_cell_length_a 4.636
_cell_length_b 4.636
_cell_length_c 16.514
_cell_angle_alpha 90.00
_cell_angle_beta 90.00
_cell_angle_gamma 90.00
loop_
_atom_site_label
_atom_site_type_symbol
_atom_site_fract_x
_atom_site_fract_y
_atom_site_fract_z
K1 K 0.000 0.000 0.155
Tc1 Tc 0.000 0.000 0.500
S1 S 0.000 0.000 0.352
S2 S 0.000 0.500 0.000
```

***

*x*
# K2TcS4

Crystalline K2TcS4 at its relaxed geometry (PBE, Alexandria).

```
data_K2TcS4
_symmetry_space_group_name_H-M 'P 1 21/m 1'
_symmetry_Int_Tables_number 11
_symmetry_space_group_name_Hall '-P 2yb'
_cell_length_a 7.395
_cell_length_b 6.630
_cell_length_c 9.609
_cell_angle_alpha 90.00
_cell_angle_beta 91.39
_cell_angle_gamma 90.00
loop_
_atom_site_label
_atom_site_type_symbol
_atom_site_fract_x
_atom_site_fract_y
_atom_site_fract_z
K1 K 0.222 0.250 0.005
K2 K 0.225 0.250 0.503
Tc1 Tc 0.184 0.750 0.753
S1 S 0.006 0.013 0.749
S2 S 0.343 0.750 0.947
S3 S 0.348 0.750 0.567
```

***

Most stable structure, least stable structure: *x*, *w*.